[1]
{
  "formula": "MgBePt2",
  "functional": "PBE-GGA",
  "state": "relaxed",
  "cell": [[-0.363, -6.853, 4.003], [-0.568, -7.825, 1.256], [2.055, -7.283, 2.421]],
  "species": ["Mg", "Be", "Pt", "Pt"],
  "frac_coords": [[0.750, 0.750, 0.750], [0.250, 0.250, 0.250], [0.988, 0.988, 0.988], [0.512, 0.512, 0.512]],
  "ef_mev_per_atom": -527,
  "m_tot_mub_per_fu": 0.00,
  "spacegroup": "R-3m"
}

=====

[2]
{
  "formula": "Pm4ScTl",
  "functional": "PBE-GGA",
  "state": "relaxed",
  "cell": [[3.508, 0.000, 0.000], [0.000, 9.586, 0.021], [0.000, -0.015, 5.746]],
  "species": ["Sc", "Pm", "Pm", "Pm", "Pm", "Tl"],
  "frac_coords": [[0.500, 0.500, 0.500], [0.500, 0.310, 0.001], [0.000, 0.815, 0.499], [0.000, 0.185, 0.501], [0.500, 0.690, 0.999], [0.000, 0.000, 0.000]],
  "ef_mev_per_atom": 74,
  "m_tot_mub_per_fu": 0.00,
  "spacegroup": "Pmmm",
  "polymorph_energy_kcal_per_mol_atoms": 1.426
}

=====

[3]
{
  "formula": "Na4Sm3TmS8",
  "functional": "PBE-GGA",
  "state": "relaxed",
  "cell": [[8.083, 0.000, 0.000], [0.000, 8.157, 0.043], [-4.042, -4.038, 5.718]],
  "species": ["S", "Na", "Na", "Na", "Sm", "S", "Sm", "S", "S", "S", "Na", "Tm", "S", "S", "S", "Sm"],
  "frac_coords": [[0.239, 0.728, 0.989], [0.000, 0.000, 0.500], [0.000, 0.000, 0.000], [0.500, 0.000, 0.500], [0.000, 0.500, 0.500], [0.761, 0.272, 0.522], [0.500, 0.500, 0.000], [0.761, 0.272, 0.011], [0.256, 0.268, 0.512], [0.239, 0.728, 0.478], [0.500, 0.000, 0.000], [0.000, 0.500, 0.000], [0.250, 0.272, 0.011], [0.744, 0.732, 0.488], [0.750, 0.728, 0.989], [0.500, 0.500, 0.500]],
  "m_tot_mub_per_fu": 0.00,
  "raw_formation_energy_ev_per_atom": -1.822,
  "spacegroup": "R-3m"
}

=====

[4]
{
  "formula": "Te2RhICl",
  "functional": "PBE-GGA",
  "state": "relaxed",
  "cell": [[5.181, 0.000, 0.000], [0.000, 5.181, 0.000], [0.000, 0.000, 5.520]],
  "species": ["Te", "Rh", "Cl", "Te", "I"],
  "frac_coords": [[0.500, 0.000, 0.000], [0.000, 0.000, 0.000], [0.500, 0.500, 0.500], [0.000, 0.500, 0.000], [0.000, 0.000, 0.500]],
  "m_tot_mub_per_fu": 0.00,
  "raw_formation_energy_ev_per_atom": 0.253,
  "spacegroup": "P4/mmm",
  "polymorph_energy_kcal_per_mol_atoms": 0.000
}

=====

- Which formula does entry 3 have?
  Na4Sm3TmS8